# NaGaBiOs2 (meta-GGA SCAN, PBEsol geometry)
# size of the total moment: 1.89 μB/f.u.
# DOS(E_F): 0.575 states/eV/atom
# ρ: 8.51 g/cm³
# DFT total energy: -46.56 eV/atom
data_NaGaBiOs2
_symmetry_space_group_name_H-M 'P 4/m m m'
_symmetry_Int_Tables_number 123
_symmetry_space_group_name_Hall '-P 4 2'
_cell_length_a 4.9935
_cell_length_b 4.9935
_cell_length_c 5.3411
_cell_angle_alpha 90.00
_cell_angle_beta 90.00
_cell_angle_gamma 90.00
loop_
_atom_site_label
_atom_site_type_symbol
_atom_site_fract_x
_atom_site_fract_y
_atom_site_fract_z
Na1 Na 0.0000 0.0000 0.0000
Ga1 Ga 0.5000 0.5000 0.0000
Bi1 Bi 0.0000 0.0000 0.5000
Os1 Os 0.0000 0.5000 0.5000